Compound: MgInI2O
Source: Alexandria
Functional: PBE-GGA
Structure: optimized geometry

Cell lengths 6.105, 6.105, 4.009 Å; angles 90.00, 90.00, 90.00 degrees
Fractional coordinates of all 5 atoms:
I (0.000, 0.500, 0.000)
I (0.500, 0.000, 0.000)
Mg (0.500, 0.500, 0.500)
In (0.000, 0.000, 0.000)
O (0.000, 0.000, 0.500)

Summary:
Total magnetic moment   0.0 μB/f.u.
D(E_F)   0.401 states/eV per atom
E_form (uncorrected)   -439.5 meV/atom
ΔE to the lowest computed polymorph   301 meV/atom
V   149 Å³/f.u.